No. 1
This record from Alexandria describes a PBEsol-optimized structure of La3Al2Ga3SnO14. The functional is meta-GGA SCAN.

Unit cell a=5.129 b=8.204 c=8.204 alpha=120.00 beta=90.00 gamma=90.00
Fractional positions:
La 0.000 0.431 0.000
La 0.000 0.000 0.431
La 0.000 0.569 0.569
Al 0.536 0.667 0.333
Al 0.464 0.333 0.667
Ga 0.500 0.754 0.000
Ga 0.500 0.000 0.754
Ga 0.500 0.246 0.246
Sn 0.000 0.000 0.000
O 0.804 0.333 0.667
O 0.196 0.667 0.333
O 0.309 0.535 0.849
O 0.309 0.151 0.687
O 0.309 0.313 0.465
O 0.691 0.849 0.535
O 0.691 0.465 0.313
O 0.691 0.687 0.151
O 0.759 0.147 0.918
O 0.759 0.082 0.230
O 0.759 0.770 0.853
O 0.241 0.918 0.147
O 0.241 0.853 0.770
O 0.241 0.230 0.082

Properties
Formation energy without anion corrections ... -2.93 eV per atom
SG ... No. 150
Crystal system ... trigonal

***

No. 2
This record from Alexandria describes a PBEsol-optimized structure of MgCdPb. The functional is meta-GGA SCAN.

Unit cell a=3.340 b=3.340 c=6.915 alpha=103.98 beta=103.98 gamma=90.00
Fractional positions:
Pb 0.332 0.332 0.664
Mg 0.656 0.656 0.312
Cd 0.012 0.012 0.023

Properties
Formation enthalpy at 0 K ... -63 meV per atom
SG ... No. 107
Crystal system ... tetragonal

***

no.,total energy (eV per cell)
1,-384.32
2,-111.36